# 1
First-principles (GGA-PBE) data for a relaxed YAlP2 crystal, as listed in Alexandria via LeMat-Bulk.

Properties
Crystal system: tetragonal
Total magnetic moment: 0.000 Bohr magnetons per cell
Calculated total energy: -5.81 eV per atom
Formation enthalpy at 0 K: -551 meV/atom

a b c (Å): 5.7753 5.7753 5.7753
angles (deg): 141.27 141.27 55.93
Positions (direct):
Y (0.0000, 0.0000, 0.0000)
Al (0.2500, 0.7500, 0.5000)
P (0.5000, 0.5000, 0.0000)
P (0.7500, 0.2500, 0.5000)


# 2
First-principles (GGA-PBE) data for a relaxed Ga2HgAu crystal, as listed in Alexandria via LeMat-Bulk.

Properties
Crystal system: trigonal
Total magnetic moment: 0.000 Bohr magnetons per cell
Calculated total energy: -2.45 eV per atom
Formation enthalpy at 0 K: -38 meV/atom

a b c (Å): 7.2674 7.2674 7.2674
angles (deg): 30.75 30.75 30.75
Positions (direct):
Ga (0.0000, 0.0000, 0.0000)
Ga (0.1894, 0.1894, 0.1894)
Hg (0.7646, 0.7646, 0.7646)
Au (0.5953, 0.5953, 0.5953)


# 3
First-principles (GGA-PBE) data for a relaxed Dy3B3C2 crystal, as listed in Alexandria via LeMat-Bulk.

Properties
Crystal system: orthorhombic
Total magnetic moment: 0.000 Bohr magnetons per cell
Calculated total energy: -6.68 eV per atom
Formation enthalpy at 0 K: -143 meV/atom

a b c (Å): 7.7680 7.7680 7.7680
angles (deg): 157.81 142.69 43.84
Positions (direct):
Dy (0.0000, 0.0000, 0.0000)
Dy (0.3353, 0.8353, 0.5000)
Dy (0.6647, 0.1647, 0.5000)
B (0.1533, 0.6533, 0.5000)
B (0.5000, 0.5000, 0.0000)
B (0.8467, 0.3467, 0.5000)
C (0.1868, 0.1868, 0.0000)
C (0.8132, 0.8132, 0.0000)


# 4
First-principles (GGA-PBE) data for a relaxed BiTe2NCl crystal, as listed in Alexandria via LeMat-Bulk.

Properties
Crystal system: tetragonal
Formation energy (no corrections): 5.94 eV per formula unit
Total magnetic moment: 1.721 Bohr magnetons per cell
Calculated total energy: -2.88 eV per atom
Energy above the lowest structure with this stoichiometry: 104 meV/atom

a b c (Å): 5.5459 5.5459 4.1564
angles (deg): 90.00 90.00 90.00
Positions (direct):
Bi (0.0000, 0.0000, 0.0000)
Te (0.0000, 0.5000, 0.5000)
Te (0.5000, 0.0000, 0.5000)
N (0.5000, 0.5000, 0.0000)
Cl (0.5000, 0.5000, 0.5000)


# 5
First-principles (GGA-PBE) data for a relaxed Tm2Cd3Co2 crystal, as listed in Alexandria via LeMat-Bulk.

Properties
Crystal system: orthorhombic
Total magnetic moment: 0.996 Bohr magnetons per cell
Calculated total energy: -3.95 eV per atom
Formation enthalpy at 0 K: -246 meV/atom

a b c (Å): 10.2842 10.2842 3.7674
angles (deg): 90.00 90.00 158.87
Positions (direct):
Tm (0.1744, 0.8256, 0.0000)
Tm (0.8256, 0.1744, 0.0000)
Cd (0.0000, 0.0000, 0.0000)
Cd (0.4195, 0.5805, 0.5000)
Cd (0.5805, 0.4195, 0.5000)
Co (0.2808, 0.7192, 0.5000)
Co (0.7192, 0.2808, 0.5000)


# 6
First-principles (GGA-PBE) data for a relaxed TiAlTcMo crystal, as listed in Alexandria via LeMat-Bulk.

Properties
Crystal system: cubic
Total magnetic moment: 0.005 Bohr magnetons per cell
Calculated total energy: -8.47 eV per atom
Formation enthalpy at 0 K: -265 meV/atom

a b c (Å): 4.4167 4.4167 4.4167
angles (deg): 60.00 60.00 60.00
Positions (direct):
Ti (0.0000, 0.0000, 0.0000)
Al (0.7500, 0.7500, 0.7500)
Tc (0.5000, 0.5000, 0.5000)
Mo (0.2500, 0.2500, 0.2500)


# 7
First-principles (GGA-PBE) data for a relaxed SrNdZn4 crystal, as listed in Alexandria via LeMat-Bulk.

Properties
Crystal system: orthorhombic
Total magnetic moment: 0.000 Bohr magnetons per cell
Calculated total energy: -2.20 eV per atom
Formation enthalpy at 0 K: -274 meV/atom
Energy above the lowest structure with this stoichiometry: 0 meV/atom

a b c (Å): 3.8658 4.5545 8.0117
angles (deg): 90.00 90.00 90.00
Positions (direct):
Sr (0.0000, 0.0000, 0.0000)
Nd (0.0000, 0.5000, 0.5000)
Zn (0.5000, 0.0000, 0.3392)
Zn (0.5000, 0.0000, 0.6608)
Zn (0.5000, 0.5000, 0.1734)
Zn (0.5000, 0.5000, 0.8266)


# 8
First-principles (GGA-PBE) data for a relaxed Hg5Bi crystal, as listed in Alexandria via LeMat-Bulk.

Properties
Crystal system: tetragonal
Total magnetic moment: 0.000 Bohr magnetons per cell
Calculated total energy: -0.82 eV per atom
Formation enthalpy at 0 K: 74 meV/atom

a b c (Å): 3.1722 3.1722 17.3818
angles (deg): 90.00 90.00 90.00
Positions (direct):
Hg (0.0000, 0.0000, 0.0000)
Hg (0.0000, 0.0000, 0.3244)
Hg (0.0000, 0.0000, 0.6756)
Hg (0.5000, 0.5000, 0.1629)
Hg (0.5000, 0.5000, 0.8371)
Bi (0.5000, 0.5000, 0.5000)


# 9
First-principles (GGA-PBE) data for a relaxed Ca2TmSnSe4 crystal, as listed in Alexandria via LeMat-Bulk.

Properties
Crystal system: monoclinic
Formation energy (no corrections): -11.80 eV per formula unit
Total magnetic moment: 0.000 Bohr magnetons per cell
Calculated total energy: -4.78 eV per atom

a b c (Å): 7.2202 4.1762 7.3144
angles (deg): 90.00 109.42 90.00
Positions (direct):
Ca (0.0000, 0.0000, 0.0000)
Ca (0.0000, 0.5000, 0.5000)
Tm (0.5000, 0.0000, 0.5000)
Sn (0.5000, 0.5000, 0.0000)
Se (0.2522, 0.0000, 0.7398)
Se (0.2575, 0.5000, 0.2605)
Se (0.7425, 0.5000, 0.7395)
Se (0.7478, 0.0000, 0.2602)


# 10
First-principles (GGA-PBE) data for a relaxed HgTe2Br crystal, as listed in Alexandria via LeMat-Bulk.

Properties
Crystal system: tetragonal
Formation energy (no corrections): 1.20 eV per formula unit
Total magnetic moment: 0.000 Bohr magnetons per cell
Calculated total energy: -1.76 eV per atom
Energy above the lowest structure with this stoichiometry: 411 meV/atom

a b c (Å): 3.3506 3.3506 9.7590
angles (deg): 90.00 90.00 90.00
Positions (direct):
Hg (0.0000, 0.0000, 0.0000)
Te (0.5000, 0.5000, 0.2563)
Te (0.5000, 0.5000, 0.7437)
Br (0.0000, 0.0000, 0.5000)


# 11
First-principles (GGA-PBE) data for a relaxed VFeIrRh crystal, as listed in Alexandria via LeMat-Bulk.

Properties
Crystal system: tetragonal
Total magnetic moment: 2.393 Bohr magnetons per cell
Calculated total energy: -8.75 eV per atom
Formation enthalpy at 0 K: -307 meV/atom
Energy above the lowest structure with this stoichiometry: 0 meV/atom

a b c (Å): 4.5329 4.5329 4.5329
angles (deg): 129.63 129.63 74.00
Positions (direct):
V (0.0000, 0.0000, 0.0000)
Fe (0.5000, 0.5000, 0.0000)
Ir (0.2500, 0.7500, 0.5000)
Rh (0.7500, 0.2500, 0.5000)


# 12
First-principles (GGA-PBE) data for a relaxed AcTb6Pm2Nd crystal, as listed in Alexandria via LeMat-Bulk.

Properties
Crystal system: monoclinic
Total magnetic moment: 0.000 Bohr magnetons per cell
Calculated total energy: -4.49 eV per atom
Formation enthalpy at 0 K: 128 meV/atom

a b c (Å): 9.0280 9.0280 9.7144
angles (deg): 93.02 93.02 118.55
Positions (direct):
Ac (0.0264, 0.9736, 0.7500)
Ac (0.9736, 0.0264, 0.2500)
Tb (0.0251, 0.5636, 0.6824)
Tb (0.1291, 0.7446, 0.0581)
Tb (0.2554, 0.8709, 0.4419)
Tb (0.2900, 0.5039, 0.8828)
Tb (0.4364, 0.9749, 0.8176)
Tb (0.4961, 0.7100, 0.6172)
Tb (0.5039, 0.2900, 0.3828)
Tb (0.5636, 0.0251, 0.1824)
Tb (0.7100, 0.4961, 0.1172)
Tb (0.7446, 0.1291, 0.5581)
Tb (0.8709, 0.2554, 0.9419)
Tb (0.9749, 0.4364, 0.3176)
Pm (0.1934, 0.3103, 0.5461)
Pm (0.3103, 0.1934, 0.0461)
Pm (0.6897, 0.8066, 0.9539)
Pm (0.8066, 0.6897, 0.4539)
Nd (0.4090, 0.5910, 0.2500)
Nd (0.5910, 0.4090, 0.7500)


# 13
First-principles (GGA-PBE) data for a relaxed Li2CdPbO4 crystal, as listed in Alexandria via LeMat-Bulk.

Properties
Crystal system: tetragonal
Formation energy (no corrections): -10.57 eV per formula unit
Total magnetic moment: 0.000 Bohr magnetons per cell
Calculated total energy: -4.86 eV per atom

a b c (Å): 5.5679 5.5679 5.5679
angles (deg): 125.54 125.54 80.65
Positions (direct):
Li (0.2500, 0.7500, 0.5000)
Li (0.7500, 0.2500, 0.5000)
Cd (0.0000, 0.0000, 0.0000)
Pb (0.5000, 0.5000, 0.0000)
O (0.1185, 0.1185, 0.5202)
O (0.4016, 0.8815, 0.0000)
O (0.5984, 0.5984, 0.4798)
O (0.8815, 0.4016, 0.0000)


# 14
First-principles (GGA-PBE) data for a relaxed PmTa2Fe9 crystal, as listed in Alexandria via LeMat-Bulk.

Properties
Crystal system: trigonal
Total magnetic moment: 16.009 Bohr magnetons per cell
Calculated total energy: -8.82 eV per atom
Formation enthalpy at 0 K: -98 meV/atom

a b c (Å): 8.3874 8.3874 8.3874
angles (deg): 34.14 34.14 34.14
Positions (direct):
Pm (0.0000, 0.0000, 0.0000)
Ta (0.1446, 0.1446, 0.1446)
Ta (0.8554, 0.8554, 0.8554)
Fe (0.0829, 0.5893, 0.5893)
Fe (0.3334, 0.3334, 0.3334)
Fe (0.4107, 0.4107, 0.9171)
Fe (0.4107, 0.9171, 0.4107)
Fe (0.5000, 0.5000, 0.5000)
Fe (0.5893, 0.0829, 0.5893)
Fe (0.5893, 0.5893, 0.0829)
Fe (0.6666, 0.6666, 0.6666)
Fe (0.9171, 0.4107, 0.4107)


# 15
First-principles (GGA-PBE) data for a relaxed Sr2CaPrSe4 crystal, as listed in Alexandria via LeMat-Bulk.

Properties
Crystal system: monoclinic
Formation energy (no corrections): -15.78 eV per formula unit
Total magnetic moment: 0.000 Bohr magnetons per cell
Calculated total energy: -4.98 eV per atom

a b c (Å): 7.5086 4.3221 7.5416
angles (deg): 90.00 109.33 90.00
Positions (direct):
Sr (0.0000, 0.0000, 0.0000)
Sr (0.5000, 0.5000, 0.0000)
Ca (0.0000, 0.5000, 0.5000)
Pr (0.5000, 0.0000, 0.5000)
Se (0.2442, 0.0000, 0.7376)
Se (0.2510, 0.5000, 0.2597)
Se (0.7490, 0.5000, 0.7403)
Se (0.7558, 0.0000, 0.2624)


# 16
First-principles (GGA-PBE) data for a relaxed CaZr2Pt2 crystal, as listed in Alexandria via LeMat-Bulk.

Properties
Crystal system: tetragonal
Total magnetic moment: 0.000 Bohr magnetons per cell
Calculated total energy: -7.07 eV per atom
Formation enthalpy at 0 K: -838 meV/atom
Energy above the lowest structure with this stoichiometry: 0 meV/atom

a b c (Å): 6.3241 6.3241 6.3241
angles (deg): 136.75 136.75 62.82
Positions (direct):
Ca (0.0000, 0.0000, 0.0000)
Zr (0.2500, 0.7500, 0.5000)
Zr (0.7500, 0.2500, 0.5000)
Pt (0.3778, 0.3778, 0.0000)
Pt (0.6222, 0.6222, 0.0000)


# 17
First-principles (GGA-PBE) data for a relaxed BaPrFeN2 crystal, as listed in Alexandria via LeMat-Bulk.

Properties
Crystal system: monoclinic
Formation energy (no corrections): -2.42 eV per formula unit
Total magnetic moment: 5.980 Bohr magnetons per cell
Calculated total energy: -6.85 eV per atom

a b c (Å): 5.9190 5.3659 7.0933
angles (deg): 90.00 90.42 90.00
Positions (direct):
Ba (0.0000, 0.0055, 0.2500)
Ba (0.0000, 0.9945, 0.7500)
Pr (0.5000, 0.4992, 0.7500)
Pr (0.5000, 0.5008, 0.2500)
Fe (0.5000, 0.0000, 0.0000)
Fe (0.5000, 0.0000, 0.5000)
N (0.2996, 0.2625, 0.9987)
N (0.2996, 0.7375, 0.4987)
N (0.7004, 0.2625, 0.5013)
N (0.7004, 0.7375, 0.0013)


# 18
First-principles (GGA-PBE) data for a relaxed TaCdPd3 crystal, as listed in Alexandria via LeMat-Bulk.

Properties
Crystal system: cubic
Total magnetic moment: 0.000 Bohr magnetons per cell
Calculated total energy: -4.93 eV per atom
Formation enthalpy at 0 K: 739 meV/atom
Energy above the lowest structure with this stoichiometry: 0 meV/atom

a b c (Å): 4.8624 4.8624 4.8624
angles (deg): 90.00 90.00 90.00
Positions (direct):
Ta (0.0000, 0.0000, 0.0000)
Cd (0.5000, 0.5000, 0.5000)
Pd (0.0000, 0.0000, 0.5000)
Pd (0.0000, 0.5000, 0.0000)
Pd (0.5000, 0.0000, 0.0000)


# 19
First-principles (GGA-PBE) data for a relaxed SrHf2InFe crystal, as listed in Alexandria via LeMat-Bulk.

Properties
Crystal system: tetragonal
Total magnetic moment: 0.000 Bohr magnetons per cell
Calculated total energy: -5.30 eV per atom
Formation enthalpy at 0 K: 1256 meV/atom

a b c (Å): 5.3952 5.3952 4.7911
angles (deg): 90.00 90.00 90.00
Positions (direct):
Sr (0.0000, 0.0000, 0.0000)
Hf (0.0000, 0.5000, 0.5000)
Hf (0.5000, 0.0000, 0.5000)
In (0.5000, 0.5000, 0.5000)
Fe (0.5000, 0.5000, 0.0000)


# 20
First-principles (GGA-PBE) data for a relaxed MoIr2 crystal, as listed in Alexandria via LeMat-Bulk.

Properties
Crystal system: orthorhombic
Total magnetic moment: 0.000 Bohr magnetons per cell
Calculated total energy: -9.84 eV per atom
Formation enthalpy at 0 K: -326 meV/atom

a b c (Å): 7.3655 7.3655 4.4190
angles (deg): 90.00 90.00 158.24
Positions (direct):
Mo (0.1117, 0.8883, 0.7500)
Mo (0.8883, 0.1117, 0.2500)
Ir (0.2239, 0.7761, 0.2500)
Ir (0.4442, 0.5558, 0.7500)
Ir (0.5558, 0.4442, 0.2500)
Ir (0.7761, 0.2239, 0.7500)


# 21
First-principles (GGA-PBE) data for a relaxed NdAl2Si crystal, as listed in Alexandria via LeMat-Bulk.

Properties
Crystal system: tetragonal
Formation energy (no corrections): -1.27 eV per formula unit
Total magnetic moment: 0.000 Bohr magnetons per cell
Calculated total energy: -4.74 eV per atom

a b c (Å): 4.2689 4.2689 4.4346
angles (deg): 90.00 90.00 90.00
Positions (direct):
Nd (0.0000, 0.0000, 0.0000)
Al (0.0000, 0.5000, 0.5000)
Al (0.5000, 0.0000, 0.5000)
Si (0.5000, 0.5000, 0.0000)


# 22
First-principles (GGA-PBE) data for a relaxed Pm9ErTh2 crystal, as listed in Alexandria via LeMat-Bulk.

Properties
Crystal system: tetragonal
Total magnetic moment: 0.000 Bohr magnetons per cell
Calculated total energy: -5.14 eV per atom
Formation enthalpy at 0 K: 44 meV/atom

a b c (Å): 5.1221 5.1221 15.3724
angles (deg): 90.00 90.00 90.00
Positions (direct):
Pm (0.0000, 0.0000, 0.0000)
Pm (0.0000, 0.0000, 0.3326)
Pm (0.0000, 0.0000, 0.6674)
Pm (0.0000, 0.5000, 0.1677)
Pm (0.0000, 0.5000, 0.5000)
Pm (0.0000, 0.5000, 0.8323)
Pm (0.5000, 0.0000, 0.1677)
Pm (0.5000, 0.0000, 0.5000)
Pm (0.5000, 0.0000, 0.8323)
Er (0.5000, 0.5000, 0.0000)
Th (0.5000, 0.5000, 0.3331)
Th (0.5000, 0.5000, 0.6669)


# 23
First-principles (GGA-PBE) data for a relaxed SrDy4Rh5 crystal, as listed in Alexandria via LeMat-Bulk.

Properties
Crystal system: tetragonal
Total magnetic moment: 0.000 Bohr magnetons per cell
Calculated total energy: -6.42 eV per atom
Formation enthalpy at 0 K: -738 meV/atom

a b c (Å): 3.4408 3.4408 17.5697
angles (deg): 90.00 90.00 90.00
Positions (direct):
Sr (0.0000, 0.0000, 0.0000)
Dy (0.0000, 0.0000, 0.2074)
Dy (0.0000, 0.0000, 0.4027)
Dy (0.0000, 0.0000, 0.5973)
Dy (0.0000, 0.0000, 0.7926)
Rh (0.5000, 0.5000, 0.1209)
Rh (0.5000, 0.5000, 0.3079)
Rh (0.5000, 0.5000, 0.5000)
Rh (0.5000, 0.5000, 0.6921)
Rh (0.5000, 0.5000, 0.8791)


# 24
First-principles (GGA-PBE) data for a relaxed TbPr3Ho5 crystal, as listed in Alexandria via LeMat-Bulk.

Properties
Crystal system: monoclinic
Total magnetic moment: 0.000 Bohr magnetons per cell
Calculated total energy: -4.13 eV per atom
Formation enthalpy at 0 K: 523 meV/atom
Energy above the lowest structure with this stoichiometry: 368 meV/atom

a b c (Å): 9.5714 9.5714 10.0710
angles (deg): 121.68 121.68 72.45
Positions (direct):
Tb (0.2469, 0.2469, 0.3984)
Tb (0.7531, 0.7531, 0.6016)
Pr (0.0000, 0.0000, 0.0000)
Pr (0.0254, 0.0254, 0.3641)
Pr (0.4912, 0.4912, 0.1924)
Pr (0.5000, 0.5000, 0.5000)
Pr (0.5088, 0.5088, 0.8076)
Pr (0.9746, 0.9746, 0.6359)
Ho (0.0888, 0.5899, 0.2456)
Ho (0.2218, 0.2218, 0.0349)
Ho (0.2580, 0.7420, 0.0000)
Ho (0.2841, 0.2841, 0.7755)
Ho (0.4101, 0.9112, 0.7544)
Ho (0.5899, 0.0888, 0.2456)
Ho (0.7159, 0.7159, 0.2245)
Ho (0.7420, 0.2580, 0.0000)
Ho (0.7782, 0.7782, 0.9651)
Ho (0.9112, 0.4101, 0.7544)


# 25
First-principles (GGA-PBE) data for a relaxed Ru5Pt crystal, as listed in Alexandria via LeMat-Bulk.

Properties
Crystal system: hexagonal
Total magnetic moment: 4.191 Bohr magnetons per cell
Calculated total energy: -7.98 eV per atom
Formation enthalpy at 0 K: 759 meV/atom
Energy above the lowest structure with this stoichiometry: 753 meV/atom

a b c (Å): 4.9887 4.9887 4.4557
angles (deg): 90.00 90.00 120.00
Positions (direct):
Ru (0.0000, 0.5000, 0.0000)
Ru (0.3333, 0.6667, 0.5000)
Ru (0.5000, 0.0000, 0.0000)
Ru (0.5000, 0.5000, 0.0000)
Ru (0.6667, 0.3333, 0.5000)
Pt (0.0000, 0.0000, 0.5000)